A plane-wave DFT calculation with PBE was carried out for YCoBAu after structural relaxation.

```
4
Lattice="0.000 3.196 3.196 3.196 0.000 3.196 3.196 3.196 0.000" Properties=species:S:1:pos:R:3 pbc="T T T"
Y 0.000 0.000 0.000
Co 3.196 3.196 3.196
B 1.598 1.598 1.598
Au 4.795 4.795 4.795
```

Calculated total energy, eV per atom: -5.533
Volume, Å³/cell: 65.32
SG: F-43m (216)
ΔE to the lowest computed polymorph, kJ/mol of formula units: 0

***

A plane-wave DFT calculation with PBE was carried out for YCoBAu after structural relaxation.

```
4
Lattice="0.000 3.165 3.165 3.165 0.000 3.165 3.165 3.165 0.000" Properties=species:S:1:pos:R:3 pbc="T T T"
Y 0.000 0.000 0.000
Co 4.747 4.747 4.747
B 3.165 3.165 3.165
Au 1.582 1.582 1.582
```

Calculated total energy, eV per atom: -5.375
Volume, Å³/cell: 63.40
SG: F-43m (216)
ΔE to the lowest computed polymorph, kJ/mol of formula units: 61

***

A plane-wave DFT calculation with PBE was carried out for ZnCoBAu after structural relaxation.

```
4
Lattice="0.000 2.938 2.938 2.938 0.000 2.938 2.938 2.938 0.000" Properties=species:S:1:pos:R:3 pbc="T T T"
Zn 0.000 0.000 0.000
Co 2.938 2.938 2.938
B 1.469 1.469 1.469
Au 4.407 4.407 4.407
```

Calculated total energy, eV per atom: -3.879
Volume, Å³/cell: 50.74
SG: F-43m (216)
ΔE to the lowest computed polymorph, kJ/mol of formula units: 55